Here is a relaxed structure of Cr2CuNiOs from Alexandria. Energies are from GGA-PBE.

```
5
Lattice="4.1451 0.0000 0.0000 0.0000 4.1822 0.0000 0.0000 0.0000 4.1451" Properties=species:S:1:pos:R:3 pbc="T T T"
Ni 0.0000 0.0000 0.0000
Os 2.0725 2.0911 2.0725
Cu 0.0000 2.0911 0.0000
Cr 0.0000 0.0000 2.0725
Cr 2.0725 0.0000 0.0000
```

Summary:
Electronic total energy   -6.585 eV per atom